# 1
# CdSi2Hg

A relaxed CdSi2Hg crystal (PBE, Alexandria).

Results
Uncorrected energy ... -2.4774 eV/atom
Formation energy without anion corrections ... 0.5384 eV/atom
V ... 20.648 Å³ per atom
Magnetic moment ... 0.0 μB per cell

Unit cell a=3.770 b=3.770 c=5.810 alpha=90.00 beta=90.00 gamma=90.00
Space group P4/mmm (No. 123)
One atom of each set of equivalent atoms:
Cd 0.000 0.000 0.000 [1 per cell]
Si 0.500 0.500 0.215 [2 per cell]
Hg 0.000 0.000 0.500 [1 per cell]

# 2
# Ti3Rh2

A relaxed Ti3Rh2 crystal (PBE, Alexandria).

Results
Uncorrected energy ... -8.3033 eV/atom
V ... 15.349 Å³ per atom
Magnetic moment ... 0.0 μB per cell
Calculated formation energy ... -3.1 eV per formula unit

Unit cell a=3.137 b=3.137 c=15.598 alpha=90.00 beta=90.00 gamma=90.00
Space group P4/mmm (No. 123)
One atom of each set of equivalent atoms:
Ti 0.000 0.000 0.000 [1 per cell]
Ti 0.000 0.000 0.195 [2 per cell]
Ti 0.000 0.000 0.391 [2 per cell]
Ti 0.500 0.500 0.500 [1 per cell]
Rh 0.500 0.500 0.098 [2 per cell]
Rh 0.500 0.500 0.290 [2 per cell]

# 3
# HoAl2Au8

A relaxed HoAl2Au8 crystal (PBE, Alexandria).

Results
Uncorrected energy ... -3.7040 eV/atom
V ... 22.424 Å³ per atom
Magnetic moment ... 0.0 μB per cell
Calculated formation energy ... -2.5 eV per formula unit

Unit cell a=5.745 b=5.745 c=7.473 alpha=90.00 beta=90.00 gamma=90.00
Space group P4/mmm (No. 123)
One atom of each set of equivalent atoms:
Ho 0.000 0.000 0.000 [1 per cell]
Al 0.000 0.500 0.500 [2 per cell]
Au 0.256 0.256 0.277 [8 per cell]

# 4
# LaPaIr2

A relaxed LaPaIr2 crystal (PBE, Alexandria).

Results
Uncorrected energy ... -8.7625 eV/atom
V ... 22.456 Å³ per atom
Magnetic moment ... 0.0 μB per cell
Calculated formation energy ... -2.9 eV per formula unit

Unit cell a=3.508 b=3.508 c=7.301 alpha=90.00 beta=90.00 gamma=90.00
Space group P4/mmm (No. 123)
One atom of each set of equivalent atoms:
La 0.000 0.000 0.000 [1 per cell]
Pa 0.000 0.000 0.500 [1 per cell]
Ir 0.500 0.500 0.295 [2 per cell]

# 5
# K2SrOsO6

A relaxed K2SrOsO6 crystal (PBE, Alexandria).

Results
Uncorrected energy ... -6.1582 eV/atom
Formation energy without anion corrections ... -1.6726 eV/atom
V ... 16.189 Å³ per atom
Magnetic moment ... 0.0 μB per cell

Unit cell a=6.123 b=6.112 c=10.593 alpha=90.00 beta=125.23 gamma=90.00
Space group P2_1/c (No. 14)
One atom of each set of equivalent atoms:
K 0.249 0.007 0.250 [4 per cell]
Sr 0.500 0.000 0.000 [2 per cell]
Os 0.000 0.000 0.500 [2 per cell]
O 0.181 0.233 0.483 [4 per cell]
O 0.215 0.700 0.984 [4 per cell]
O 0.248 0.003 0.715 [4 per cell]

# 6
# K2SrCu2

A relaxed K2SrCu2 crystal (PBE, Alexandria).

Results
Uncorrected energy ... -2.1443 eV/atom
V ... 35.023 Å³ per atom
Magnetic moment ... 0.0 μB per cell
Calculated formation energy ... 1.3 eV per formula unit

Unit cell a=8.050 b=8.050 c=5.404 alpha=90.00 beta=90.00 gamma=90.00
Space group P4/mbm (No. 127)
One atom of each set of equivalent atoms:
K 0.164 0.336 0.000 [4 per cell]
Sr 0.000 0.000 0.500 [2 per cell]
Cu 0.108 0.608 0.500 [4 per cell]

# 7
# TlTc2Sb

A relaxed TlTc2Sb crystal (PBE, Alexandria).

Results
Uncorrected energy ... -6.3629 eV/atom
Formation energy without anion corrections ... 0.4422 eV/atom
V ... 20.891 Å³ per atom
Magnetic moment ... 0.0 μB per cell

Unit cell a=3.0678 b=3.0678 c=30.7586 alpha=90.00 beta=90.00 gamma=120.00
Space group R3m (No. 160, hexagonal axes)
One atom of each set of equivalent atoms:
Tl 0.0000 0.0000 0.0000 [3 per cell]
Tc 0.0000 0.0000 0.4772 [3 per cell]
Tc 0.0000 0.0000 0.7492 [3 per cell]
Sb 0.0000 0.0000 0.2160 [3 per cell]

# 8
# Np2HgF9

A relaxed Np2HgF9 crystal (PBE, Alexandria).

Results
Uncorrected energy ... -6.5645 eV/atom
Formation energy without anion corrections ... -2.9790 eV/atom
V ... 15.924 Å³ per atom
Magnetic moment ... 5.4 μB per cell

Unit cell a=7.8887 b=7.8887 c=3.5456 alpha=90.00 beta=90.00 gamma=120.00
Space group P6/mmm (No. 191)
One atom of each set of equivalent atoms:
Np 0.3333 0.6667 0.0000 [2 per cell]
Hg 0.0000 0.0000 0.0000 [1 per cell]
F 0.0000 0.5000 0.0000 [3 per cell]
F 0.2262 0.4524 0.5000 [6 per cell]

# 9
# Sm5Co2Sn

A relaxed Sm5Co2Sn crystal (PBE, Alexandria).

Results
Uncorrected energy ... -5.5125 eV/atom
V ... 25.749 Å³ per atom
Magnetic moment ... 0.0 μB per cell
Calculated formation energy ... -2.3 eV per formula unit

Unit cell a=7.776 b=7.776 c=13.627 alpha=90.00 beta=90.00 gamma=90.00
Space group I4/mcm (No. 140)
One atom of each set of equivalent atoms:
Sm 0.000 0.000 0.000 [4 per cell]
Sm 0.160 0.340 0.133 [16 per cell]
Co 0.136 0.364 0.500 [8 per cell]
Sn 0.000 0.000 0.250 [4 per cell]

# 10
# Cu2Ag5S5

A relaxed Cu2Ag5S5 crystal (PBE, Alexandria).

Results
Uncorrected energy ... -3.5648 eV/atom
Formation energy without anion corrections ... 0.0257 eV/atom
V ... 18.318 Å³ per atom
Magnetic moment ... 0.0 μB per cell

Unit cell a=11.679 b=3.581 c=10.831 alpha=90.00 beta=103.95 gamma=90.00
Space group C2/m (No. 12)
One atom of each set of equivalent atoms:
Cu 0.029 0.000 0.294 [4 per cell]
Ag 0.000 0.500 0.000 [2 per cell]
Ag 0.171 0.500 0.568 [4 per cell]
Ag 0.249 0.000 0.157 [4 per cell]
S 0.000 0.000 0.500 [2 per cell]
S 0.103 0.000 0.899 [4 per cell]
S 0.172 0.500 0.302 [4 per cell]

# 11
# HgBRuN

A relaxed HgBRuN crystal (PBE, Alexandria).

Results
Uncorrected energy ... -5.9030 eV/atom
Formation energy without anion corrections ... 0.2421 eV/atom
V ... 15.080 Å³ per atom
Magnetic moment ... 0.0 μB per cell

Unit cell a=3.772 b=2.818 c=5.903 alpha=90.00 beta=105.99 gamma=90.00
Space group Pm (No. 6)
One atom of each set of equivalent atoms:
Hg 0.000 0.000 0.000 [1 per cell]
B 0.950 0.000 0.509 [1 per cell]
Ru 0.598 0.500 0.598 [1 per cell]
N 0.246 0.000 0.405 [1 per cell]

# 12
# MnAg2Pt

A relaxed MnAg2Pt crystal (PBE, Alexandria).

Results
Uncorrected energy ... -5.2049 eV/atom
V ... 16.537 Å³ per atom
Magnetic moment ... 8.5 μB per cell
Calculated formation energy ... 0.1 eV per formula unit

Unit cell a=9.269 b=2.932 c=4.973 alpha=90.00 beta=101.80 gamma=90.00
Space group Cm (No. 8)
One atom of each set of equivalent atoms:
Mn 0.000 0.000 0.000 [2 per cell]
Ag 0.008 0.500 0.515 [2 per cell]
Ag 0.252 0.500 0.276 [2 per cell]
Pt 0.264 0.000 0.791 [2 per cell]

# 13
# Ta2RhAu

A relaxed Ta2RhAu crystal (PBE, Alexandria).

Results
Uncorrected energy ... -8.8470 eV/atom
V ... 16.717 Å³ per atom
Magnetic moment ... 0.0 μB per cell
Calculated formation energy ... -1.1 eV per formula unit

Unit cell a=2.887 b=4.088 c=5.666 alpha=90.00 beta=90.00 gamma=90.00
Space group Pmmm (No. 47)
One atom of each set of equivalent atoms:
Ta 0.000 0.000 0.241 [2 per cell]
Rh 0.500 0.500 0.000 [1 per cell]
Au 0.500 0.500 0.500 [1 per cell]

# 14
# Fe2HgSb

A relaxed Fe2HgSb crystal (PBE, Alexandria).

Results
Uncorrected energy ... -5.0926 eV/atom
Formation energy without anion corrections ... 0.2448 eV/atom
V ... 18.972 Å³ per atom
Magnetic moment ... 4.8 μB per cell

Unit cell a=3.103 b=3.103 c=7.882 alpha=90.00 beta=90.00 gamma=90.00
Space group P4mm (No. 99)
One atom of each set of equivalent atoms:
Fe 0.000 0.000 0.000 [1 per cell]
Fe 0.500 0.500 0.147 [1 per cell]
Hg 0.000 0.000 0.381 [1 per cell]
Sb 0.500 0.500 0.784 [1 per cell]

# 15
# CsTlV

A relaxed CsTlV crystal (PBE, Alexandria).

Results
Uncorrected energy ... -3.4679 eV/atom
V ... 32.987 Å³ per atom
Magnetic moment ... 0.0 μB per cell
Calculated formation energy ... 1.9 eV per formula unit

Unit cell a=3.356 b=3.912 c=15.554 alpha=93.51 beta=95.82 gamma=102.08
Space group P-1 (No. 2)
One atom of each set of equivalent atoms:
Cs 0.081 0.160 0.219 [2 per cell]
Tl 0.293 0.276 0.577 [2 per cell]
V 0.298 0.289 0.998 [2 per cell]

# 16
# Er8Sn2Pb

A relaxed Er8Sn2Pb crystal (PBE, Alexandria).

Results
Uncorrected energy ... -4.7015 eV/atom
V ... 29.501 Å³ per atom
Magnetic moment ... 0.0 μB per cell
Calculated formation energy ... -3.5 eV per formula unit

Unit cell a=19.548 b=4.982 c=6.848 alpha=90.00 beta=103.32 gamma=90.00
Space group C2/m (No. 12)
One atom of each set of equivalent atoms:
Er 0.025 0.000 0.259 [4 per cell]
Er 0.093 0.500 0.980 [4 per cell]
Er 0.160 0.500 0.505 [4 per cell]
Er 0.218 0.000 0.831 [4 per cell]
Sn 0.182 0.000 0.261 [4 per cell]
Pb 0.000 0.500 0.500 [2 per cell]

# 17
# MgZr2Mo

A relaxed MgZr2Mo crystal (PBE, Alexandria).

Results
Uncorrected energy ... -7.1727 eV/atom
V ... 20.016 Å³ per atom
Magnetic moment ... 0.0 μB per cell
Calculated formation energy ... 0.8 eV per formula unit

Unit cell a=6.202 b=9.499 c=2.818 alpha=90.00 beta=105.32 gamma=90.00
Space group C2/m (No. 12)
One atom of each set of equivalent atoms:
Mg 0.000 0.000 0.000 [2 per cell]
Zr 0.250 0.250 0.500 [4 per cell]
Mo 0.000 0.500 0.000 [2 per cell]

# 18
# K2BiI5

A relaxed K2BiI5 crystal (PBE, Alexandria).

Results
Uncorrected energy ... -2.6671 eV/atom
Formation energy without anion corrections ... -0.9388 eV/atom
V ... 55.873 Å³ per atom
Magnetic moment ... 0.0 μB per cell

Unit cell a=7.059 b=8.563 c=9.089 alpha=92.93 beta=112.73 gamma=114.34
Space group P1 (No. 1)
One atom of each set of equivalent atoms:
K 0.000 0.000 0.000 [1 per cell]
K 0.112 0.685 0.537 [1 per cell]
Bi 0.581 0.343 0.769 [1 per cell]
I 0.000 0.344 0.769 [1 per cell]
I 0.184 0.095 0.436 [1 per cell]
I 0.475 0.023 0.927 [1 per cell]
I 0.637 0.663 0.610 [1 per cell]
I 0.762 0.591 0.101 [1 per cell]

# 19
# TaAsPb2

A relaxed TaAsPb2 crystal (PBE, Alexandria).

Results
Uncorrected energy ... -4.9020 eV/atom
V ... 34.421 Å³ per atom
Magnetic moment ... 0.0 μB per cell
Calculated formation energy ... 4.3 eV per formula unit

Unit cell a=6.508 b=6.508 c=13.003 alpha=90.00 beta=90.00 gamma=90.00
Space group I-42d (No. 122)
One atom of each set of equivalent atoms:
Ta 0.000 0.000 0.000 [4 per cell]
As 0.000 0.000 0.500 [4 per cell]
Pb 0.245 0.250 0.125 [8 per cell]

# 20
# In2HgI2

A relaxed In2HgI2 crystal (PBE, Alexandria).

Results
Uncorrected energy ... -2.0552 eV/atom
Formation energy without anion corrections ... -0.2794 eV/atom
V ... 40.981 Å³ per atom
Magnetic moment ... 0.0 μB per cell

Unit cell a=9.841 b=9.841 c=4.232 alpha=90.00 beta=90.00 gamma=90.00
Space group P4/mbm (No. 127)
One atom of each set of equivalent atoms:
In 0.143 0.357 0.000 [4 per cell]
Hg 0.000 0.000 0.500 [2 per cell]
I 0.146 0.646 0.500 [4 per cell]